# 1
VASP calculation (GGA-PBE) on an optimized crystal structure of Na2LiHg2.

Properties
Total DFT energy (no corrections) ... -5.8 eV per formula unit
Mass density ... 5.78 Mg/m³
Magnetization ... 0.00 μB/atom
Density of states at the Fermi level ... 0.483 states/eV/atom
Calculated volume ... 26.084 Å³/atom
E_form ... -0.6 eV/f.u.
Offset from the most stable computed form ... 0.50 eV/f.u.

Lattice parameters (Å, degrees): 8.629 8.629 3.503 90.00 90.00 90.00
Space group P4/mbm (No. 127)
Inequivalent atoms, fractional coordinates:
Na: 0.133 0.367 0.000
Li: 0.000 0.000 0.000
Hg: 0.166 0.666 0.500


# 2
VASP calculation (GGA-PBE) on an optimized crystal structure of NaLi4Hg12.

Properties
Total DFT energy (no corrections) ... -14.6 eV per formula unit
Mass density ... 9.18 Mg/m³
Magnetization ... 0.00 μB/atom
Density of states at the Fermi level ... 0.367 states/eV/atom
Calculated volume ... 26.154 Å³/atom
E_form ... -2.0 eV/f.u.

Lattice parameters (Å, degrees): 9.616 9.616 9.616 90.00 90.00 90.00
Space group Im-3 (No. 204)
Inequivalent atoms, fractional coordinates:
Na: 0.000 0.000 0.000
Li: 0.250 0.250 0.250
Hg: 0.000 0.157 0.344


# 3
VASP calculation (GGA-PBE) on an optimized crystal structure of NaLi3Hg2.

Properties
Total DFT energy (no corrections) ... -9.1 eV per formula unit
Mass density ... 5.86 Mg/m³
Magnetization ... 0.00 μB/atom
Density of states at the Fermi level ... 0.428 states/eV/atom
Calculated volume ... 21.002 Å³/atom
E_form ... -1.4 eV/f.u.

Lattice parameters (Å, degrees): 14.618 4.509 9.506 90.00 126.44 90.00
Space group C2/m (No. 12)
Inequivalent atoms, fractional coordinates:
Na: 0.112 0.000 0.495
Li: 0.061 0.000 0.913
Li: 0.086 0.500 0.220
Li: 0.239 0.500 0.101
Hg: 0.089 0.500 0.739
Hg: 0.205 0.000 0.267


# 4
VASP calculation (GGA-PBE) on an optimized crystal structure of NaLi2Hg.

Properties
Total DFT energy (no corrections) ... -5.7 eV per formula unit
Mass density ... 4.17 Mg/m³
Magnetization ... 0.00 μB/atom
Density of states at the Fermi level ... 0.401 states/eV/atom
Calculated volume ... 23.667 Å³/atom
E_form ... -0.3 eV/f.u.

Lattice parameters (Å, degrees): 4.345 4.345 20.053 90.00 90.00 90.00
Space group I-42d (No. 122)
Inequivalent atoms, fractional coordinates:
Na: 0.000 0.000 0.000
Li: 0.213 0.250 0.625
Hg: 0.000 0.000 0.500


# 5
VASP calculation (GGA-PBE) on an optimized crystal structure of NaLi2Hg9.

Properties
Total DFT energy (no corrections) ... -9.8 eV per formula unit
Mass density ... 10.93 Mg/m³
Magnetization ... 0.00 μB/atom
Density of states at the Fermi level ... 0.387 states/eV/atom
Calculated volume ... 23.325 Å³/atom
E_form ... -1.9 eV/f.u.
Offset from the most stable computed form ... 0.00 eV/f.u.

Lattice parameters (Å, degrees): 4.593 4.593 13.268 90.00 90.00 90.00
Space group P4/mmm (No. 123)
Inequivalent atoms, fractional coordinates:
Na: 0.000 0.000 0.000
Li: 0.000 0.000 0.341
Hg: 0.000 0.500 0.177
Hg: 0.000 0.500 0.500
Hg: 0.500 0.500 0.000
Hg: 0.500 0.500 0.339


# 6
VASP calculation (GGA-PBE) on an optimized crystal structure of NaLiHg.

Properties
Total DFT energy (no corrections) ... -4.2 eV per formula unit
Mass density ... 5.09 Mg/m³
Magnetization ... 0.00 μB/atom
Density of states at the Fermi level ... 0.443 states/eV/atom
Calculated volume ... 25.057 Å³/atom
E_form ... -0.6 eV/f.u.
Offset from the most stable computed form ... 0.01 eV/f.u.

Lattice parameters (Å, degrees): 3.600 3.600 23.196 90.00 90.00 90.00
Space group I4/mmm (No. 139)
Inequivalent atoms, fractional coordinates:
Na: 0.000 0.000 0.075
Li: 0.000 0.000 0.214
Hg: 0.000 0.000 0.337


# 7
VASP calculation (GGA-PBE) on an optimized crystal structure of Na4Li2Hg3.

Properties
Total DFT energy (no corrections) ... -11.3 eV per formula unit
Mass density ... 5.46 Mg/m³
Magnetization ... 0.00 μB/atom
Density of states at the Fermi level ... 0.526 states/eV/atom
Calculated volume ... 23.898 Å³/atom
E_form ... -1.3 eV/f.u.

Lattice parameters (Å, degrees): 3.185 8.745 15.443 90.00 90.00 90.00
Space group Immm (No. 71)
Inequivalent atoms, fractional coordinates:
Na: 0.000 0.175 0.165
Li: 0.000 0.337 0.000
Hg: 0.000 0.000 0.365
Hg: 0.000 0.500 0.500


# 8
VASP calculation (GGA-PBE) on an optimized crystal structure of Na2LiHg2.

Properties
Total DFT energy (no corrections) ... -6.2 eV per formula unit
Mass density ... 5.75 Mg/m³
Magnetization ... 0.00 μB/atom
Density of states at the Fermi level ... 0.398 states/eV/atom
Calculated volume ... 26.238 Å³/atom
E_form ... -1.1 eV/f.u.
Offset from the most stable computed form ... 0.01 eV/f.u.

Lattice parameters (Å, degrees): 11.400 4.695 11.251 90.00 119.38 90.00
Space group C2/m (No. 12)
Inequivalent atoms, fractional coordinates:
Na: 0.009 0.000 0.176
Na: 0.188 0.000 0.604
Li: 0.213 0.500 0.869
Hg: 0.021 0.500 0.381
Hg: 0.147 0.500 0.074


# 9
VASP calculation (GGA-PBE) on an optimized crystal structure of Na2LiHg9.

Properties
Total DFT energy (no corrections) ... -9.1 eV per formula unit
Mass density ... 9.86 Mg/m³
Magnetization ... 0.00 μB/atom
Density of states at the Fermi level ... 0.209 states/eV/atom
Calculated volume ... 26.090 Å³/atom
E_form ... -1.9 eV/f.u.

Lattice parameters (Å, degrees): 4.934 7.201 9.495 68.67 85.10 88.79
Space group P-1 (No. 2)
Inequivalent atoms, fractional coordinates:
Na: 0.029 0.215 0.290
Li: 0.000 0.000 0.000
Hg: 0.021 0.278 0.625
Hg: 0.249 0.623 0.016
Hg: 0.480 0.528 0.675
Hg: 0.491 0.961 0.180
Hg: 0.500 0.000 0.500


# 10
VASP calculation (GGA-PBE) on an optimized crystal structure of NaLi4Hg.

Properties
Total DFT energy (no corrections) ... -9.5 eV per formula unit
Mass density ... 3.38 Mg/m³
Magnetization ... 0.02 μB/atom
Density of states at the Fermi level ... 0.574 states/eV/atom
Calculated volume ... 20.602 Å³/atom
E_form ... -0.3 eV/f.u.
Offset from the most stable computed form ... 0.47 eV/f.u.

Lattice parameters (Å, degrees): 7.907 7.907 7.907 90.00 90.00 90.00
Space group F-43m (No. 216)
Inequivalent atoms, fractional coordinates:
Na: 0.000 0.000 0.000
Li: 0.124 0.124 0.376
Hg: 0.250 0.250 0.750


# 11
VASP calculation (GGA-PBE) on an optimized crystal structure of NaLi3Hg6.

Properties
Total DFT energy (no corrections) ... -11.7 eV per formula unit
Mass density ... 9.78 Mg/m³
Magnetization ... 0.00 μB/atom
Density of states at the Fermi level ... 0.308 states/eV/atom
Calculated volume ... 21.177 Å³/atom
E_form ... -2.8 eV/f.u.

Lattice parameters (Å, degrees): 8.923 4.746 10.176 90.00 100.59 90.00
Space group P2_1/m (No. 11)
Inequivalent atoms, fractional coordinates:
Na: 0.056 0.250 0.396
Li: 0.251 0.250 0.024
Li: 0.357 0.750 0.815
Li: 0.456 0.250 0.603
Hg: 0.078 0.750 0.909
Hg: 0.150 0.750 0.213
Hg: 0.187 0.250 0.719
Hg: 0.277 0.750 0.526
Hg: 0.381 0.250 0.308
Hg: 0.469 0.750 0.100


# 12
VASP calculation (GGA-PBE) on an optimized crystal structure of NaLi2Hg8.

Properties
Total DFT energy (no corrections) ... -9.5 eV per formula unit
Mass density ... 10.20 Mg/m³
Magnetization ... 0.00 μB/atom
Density of states at the Fermi level ... 0.273 states/eV/atom
Calculated volume ... 24.307 Å³/atom
E_form ... -2.0 eV/f.u.
Offset from the most stable computed form ... 0.15 eV/f.u.

Lattice parameters (Å, degrees): 9.091 12.069 4.987 90.00 102.24 90.00
Space group C2/m (No. 12)
Inequivalent atoms, fractional coordinates:
Na: 0.000 0.000 0.000
Li: 0.000 0.359 0.500
Hg: 0.000 0.257 0.000
Hg: 0.154 0.500 0.906
Hg: 0.182 0.137 0.573


# 13
VASP calculation (GGA-PBE) on an optimized crystal structure of NaLi2Hg2.

Properties
Total DFT energy (no corrections) ... -7.2 eV per formula unit
Mass density ... 6.99 Mg/m³
Magnetization ... 0.00 μB/atom
Density of states at the Fermi level ... 0.312 states/eV/atom
Calculated volume ... 20.822 Å³/atom
E_form ... -1.4 eV/f.u.
Offset from the most stable computed form ... 0.00 eV/f.u.

Lattice parameters (Å, degrees): 8.048 8.048 3.215 90.00 90.00 90.00
Space group P4/mbm (No. 127)
Inequivalent atoms, fractional coordinates:
Na: 0.000 0.000 0.000
Li: 0.127 0.373 0.000
Hg: 0.166 0.666 0.500


# 14
VASP calculation (GGA-PBE) on an optimized crystal structure of Na2Li3Hg2.

Properties
Total DFT energy (no corrections) ... -10.4 eV per formula unit
Mass density ... 4.60 Mg/m³
Magnetization ... 0.00 μB/atom
Density of states at the Fermi level ... 0.411 states/eV/atom
Calculated volume ... 24.139 Å³/atom
E_form ... -1.4 eV/f.u.
Offset from the most stable computed form ... 0.08 eV/f.u.

Lattice parameters (Å, degrees): 10.945 4.409 7.629 90.00 113.38 90.00
Space group C2/m (No. 12)
Inequivalent atoms, fractional coordinates:
Na: 0.147 0.000 0.282
Li: 0.000 0.500 0.500
Li: 0.137 0.500 0.942
Hg: 0.139 0.000 0.712


# 15
VASP calculation (GGA-PBE) on an optimized crystal structure of NaLi4Hg5.

Properties
Total DFT energy (no corrections) ... -13.9 eV per formula unit
Mass density ... 8.76 Mg/m³
Magnetization ... 0.00 μB/atom
Density of states at the Fermi level ... 0.278 states/eV/atom
Calculated volume ... 19.964 Å³/atom
E_form ... -3.5 eV/f.u.

Lattice parameters (Å, degrees): 3.419 3.419 17.082 90.00 90.00 90.00
Space group P4/mmm (No. 123)
Inequivalent atoms, fractional coordinates:
Na: 0.000 0.000 0.000
Li: 0.000 0.000 0.219
Li: 0.000 0.000 0.406
Hg: 0.500 0.500 0.127
Hg: 0.500 0.500 0.313
Hg: 0.500 0.500 0.500


# 16
VASP calculation (GGA-PBE) on an optimized crystal structure of Na3Li2Hg4.

Properties
Total DFT energy (no corrections) ... -11.0 eV per formula unit
Mass density ... 6.98 Mg/m³
Magnetization ... 0.00 μB/atom
Density of states at the Fermi level ... 0.482 states/eV/atom
Calculated volume ... 23.399 Å³/atom
E_form ... -2.1 eV/f.u.
Offset from the most stable computed form ... 0.05 eV/f.u.

Lattice parameters (Å, degrees): 10.550 5.071 9.393 90.00 123.06 90.00
Space group C2/m (No. 12)
Inequivalent atoms, fractional coordinates:
Na: 0.000 0.000 0.000
Na: 0.160 0.500 0.675
Li: 0.130 0.500 0.297
Hg: 0.066 0.000 0.391
Hg: 0.206 0.500 0.052


# 17
VASP calculation (GGA-PBE) on an optimized crystal structure of NaLi6Hg5.

Properties
Total DFT energy (no corrections) ... -18.2 eV per formula unit
Mass density ... 7.75 Mg/m³
Magnetization ... 0.00 μB/atom
Density of states at the Fermi level ... 0.310 states/eV/atom
Calculated volume ... 19.058 Å³/atom
E_form ... -3.9 eV/f.u.

Lattice parameters (Å, degrees): 14.718 6.872 4.739 90.00 107.41 90.00
Space group C2/m (No. 12)
Inequivalent atoms, fractional coordinates:
Na: 0.000 0.000 0.000
Li: 0.000 0.277 0.500
Li: 0.173 0.267 0.173
Hg: 0.000 0.500 0.000
Hg: 0.157 0.000 0.657
Hg: 0.175 0.500 0.675


# 18
VASP calculation (GGA-PBE) on an optimized crystal structure of Na3Li4Hg4.

Properties
Total DFT energy (no corrections) ... -15.3 eV per formula unit
Mass density ... 5.73 Mg/m³
Magnetization ... 0.00 μB/atom
Density of states at the Fermi level ... 0.371 states/eV/atom
Calculated volume ... 23.670 Å³/atom
E_form ... -2.5 eV/f.u.

Lattice parameters (Å, degrees): 4.477 7.644 15.218 90.00 90.00 90.00
Space group Immm (No. 71)
Inequivalent atoms, fractional coordinates:
Na: 0.000 0.000 0.000
Na: 0.000 0.500 0.124
Li: 0.000 0.298 0.325
Hg: 0.000 0.000 0.214
Hg: 0.000 0.198 0.500


# 19
VASP calculation (GGA-PBE) on an optimized crystal structure of NaLi4Hg3.

Properties
Total DFT energy (no corrections) ... -12.2 eV per formula unit
Mass density ... 6.90 Mg/m³
Magnetization ... 0.00 μB/atom
Density of states at the Fermi level ... 0.382 states/eV/atom
Calculated volume ... 19.642 Å³/atom
E_form ... -2.3 eV/f.u.

Lattice parameters (Å, degrees): 4.677 4.677 7.184 90.00 90.00 90.00
Space group P4/mmm (No. 123)
Inequivalent atoms, fractional coordinates:
Na: 0.000 0.000 0.000
Li: 0.000 0.500 0.273
Hg: 0.000 0.000 0.500
Hg: 0.500 0.500 0.000
Hg: 0.500 0.500 0.500


# 20
VASP calculation (GGA-PBE) on an optimized crystal structure of Na2LiHg8.

Properties
Total DFT energy (no corrections) ... -9.1 eV per formula unit
Mass density ... 10.04 Mg/m³
Magnetization ... 0.00 μB/atom
Density of states at the Fermi level ... 0.349 states/eV/atom
Calculated volume ... 24.920 Å³/atom
E_form ... -2.1 eV/f.u.
Offset from the most stable computed form ... 0.05 eV/f.u.

Lattice parameters (Å, degrees): 16.188 5.318 7.070 90.00 115.75 90.00
Space group C2/m (No. 12)
Inequivalent atoms, fractional coordinates:
Na: 0.199 0.000 0.198
Li: 0.000 0.500 0.500
Hg: 0.000 0.000 0.218
Hg: 0.130 0.500 0.914
Hg: 0.131 0.500 0.348
Hg: 0.167 0.000 0.666